No. 1
Below is crystalline LaTm2Cd at its relaxed geometry, with properties calculated at the PBE level.

abc: 4.9157 4.8844 4.8844
angles: 90.00 90.00 90.00
Site moments in Bohr magnetons follow the coordinates.
Element x y z (fractional)
Cd: 0.5000 0.0000 0.0000  0.00
La: 0.5000 0.5000 0.5000  0.08
Tm: 0.0000 0.5000 0.0000  0.09
Tm: 0.0000 0.0000 0.5000  0.09

Computed properties:
DOS at the Fermi energy	1.4274	states/eV per atom
total magnetic moment	0.090	μB/atom
energy above the lowest structure with this stoichiometry	64	meV/atom
theoretical density	8.34	g/cm3
formation energy from the elements	-0.077	eV/atom


No. 2
Below is crystalline SO2 at its relaxed geometry, with properties calculated at the PBE level.

abc: 4.2438 4.6713 6.7272
angles: 90.01 80.37 89.74
Element x y z (fractional)
O: 0.4776 0.2818 0.6570
O: 0.8134 0.7797 0.9229
O: 0.4524 0.0718 0.1729
S: 0.5090 0.8096 0.0563
S: 0.7820 0.3102 0.5236
O: 0.8366 0.5715 0.4065

Computed properties:
E_form (uncorrected)	-1.050	eV/atom
DOS at the Fermi energy	0.0000	states/eV per atom
total magnetic moment	0.000	μB/atom
theoretical density	1.62	g/cm3


No. 3
Below is crystalline TaSb2W at its relaxed geometry, with properties calculated at the PBE level.

abc: 10.5971 10.5971 10.5971
angles: 17.63 17.63 17.63
Element x y z (fractional)
Ta: 0.5119 0.5119 0.5119
Sb: 0.7711 0.7711 0.7711
W: 0.2402 0.2402 0.2402
Sb: 0.9768 0.9768 0.9768

Computed properties:
E_form (uncorrected)	0.202	eV/atom
DOS at the Fermi energy	0.3438	states/eV per atom
total magnetic moment	0.000	μB/atom
energy above the lowest structure with this stoichiometry	84	meV/atom
theoretical density	10.60	g/cm3


No. 4
Below is crystalline Cs2CaGe2O6 at its relaxed geometry, with properties calculated at the PBE level.

abc: 6.2291 6.2280 7.5116
angles: 114.29 90.00 120.01
Element x y z (fractional)
Ge: 0.0959 0.1918 0.2888
Ge: 0.9041 0.8082 0.7112
Ca: 0.5000 0.0000 0.5000
O: 0.2246 0.9738 0.7216
Cs: 0.7072 0.4145 0.1224
O: 0.2520 0.5040 0.2814
O: 0.7754 0.0262 0.2784
O: 0.7492 0.9738 0.7216
O: 0.7480 0.4960 0.7186
O: 0.2508 0.0262 0.2784
Cs: 0.2928 0.5855 0.8776

Computed properties:
E_form (uncorrected)	-1.856	eV/atom
DOS at the Fermi energy	0.0000	states/eV per atom
total magnetic moment	0.000	μB/atom
theoretical density	4.09	g/cm3


No. 5
Below is crystalline YMnTlZn2 at its relaxed geometry, with properties calculated at the PBE level.

abc: 4.7095 4.9817 4.7095
angles: 90.00 90.00 90.00
Site moments in Bohr magnetons follow the coordinates.
Element x y z (fractional)
Tl: 0.0000 0.5000 0.0000  -0.06
Mn: 0.0000 0.0000 0.0000  2.21
Zn: 0.5000 0.0000 0.0000  -0.05
Y: 0.5000 0.5000 0.5000  -0.17
Zn: 0.0000 0.0000 0.5000  -0.01

Computed properties:
DOS at the Fermi energy	0.7467	states/eV per atom
total magnetic moment	0.337	μB/atom
theoretical density	7.20	g/cm3
formation energy from the elements	0.210	eV/atom


No. 6
Below is crystalline Na2HfTi2S6 at its relaxed geometry, with properties calculated at the PBE level.

abc: 6.1365 6.1365 7.1812
angles: 98.06 98.06 120.12
Site moments in Bohr magnetons follow the coordinates.
Element x y z (fractional)
Na: 0.8352 0.1648 0.0000  0.00
S: 0.5904 0.9302 0.2893  -0.01
S: 0.4096 0.0698 0.7107  -0.01
Hf: 0.0000 0.0000 0.5000  0.07
S: 0.9302 0.5904 0.2893  -0.01
S: 0.0698 0.4096 0.7107  -0.01
S: 0.7276 0.7276 0.7110  -0.01
Ti: 0.6665 0.3335 0.5000  0.42
S: 0.2724 0.2724 0.2890  -0.01
Ti: 0.3335 0.6665 0.5000  0.42
Na: 0.1648 0.8352 0.0000  0.00

Computed properties:
E_form (uncorrected)	-1.435	eV/atom
DOS at the Fermi energy	0.5582	states/eV per atom
total magnetic moment	0.102	μB/atom
theoretical density	3.79	g/cm3


No. 7
Below is crystalline Al4Se at its relaxed geometry, with properties calculated at the PBE level.

abc: 7.5584 7.5584 7.5584
angles: 151.69 151.69 40.46
Element x y z (fractional)
Al: 0.4019 0.4019 0.0000
Al: 0.7500 0.2500 0.5000
Al: 0.5981 0.5981 0.0000
Al: 0.2500 0.7500 0.5000
Se: 0.0000 0.0000 0.0000

Computed properties:
E_form (uncorrected)	0.126	eV/atom
DOS at the Fermi energy	0.5814	states/eV per atom
total magnetic moment	0.000	μB/atom
energy above the lowest structure with this stoichiometry	0	meV/atom
theoretical density	3.20	g/cm3


No. 8
Below is crystalline La2PmEr8 at its relaxed geometry, with properties calculated at the PBE level.

abc: 5.0568 7.9716 9.4298
angles: 104.70 105.55 90.00
Element x y z (fractional)
Er: 0.5888 0.4543 0.1775
Er: 0.4112 0.5457 0.8225
Er: 0.9565 0.2734 0.9130
Er: 0.3193 0.0938 0.6386
Er: 0.8652 0.8241 0.7304
Er: 0.0435 0.7266 0.0870
La: 0.7725 0.3629 0.5450
Pm: 0.5000 0.0000 0.0000
La: 0.2275 0.6371 0.4550
Er: 0.6807 0.9062 0.3614
Er: 0.1348 0.1759 0.2696

Computed properties:
DOS at the Fermi energy	1.5641	states/eV per atom
total magnetic moment	0.000	μB/atom
energy above the lowest structure with this stoichiometry	0	meV/atom
theoretical density	8.28	g/cm3
formation energy from the elements	0.033	eV/atom


No. 9
Below is crystalline MgNbAl2Si at its relaxed geometry, with properties calculated at the PBE level.

abc: 4.9962 5.2375 4.9962
angles: 90.00 90.00 90.00
Site moments in Bohr magnetons follow the coordinates.
Element x y z (fractional)
Nb: 0.0000 0.0000 0.0000  0.67
Al: 0.0000 0.0000 0.5000  0.01
Al: 0.5000 0.0000 0.0000  0.00
Mg: 0.0000 0.5000 0.0000  0.02
Si: 0.5000 0.5000 0.5000  -0.04

Computed properties:
E_form (uncorrected)	1.197	eV/atom
DOS at the Fermi energy	0.7265	states/eV per atom
total magnetic moment	0.168	μB/atom
theoretical density	2.53	g/cm3


No. 10
Below is crystalline LaPrRu at its relaxed geometry, with properties calculated at the PBE level.

abc: 5.4356 6.8675 5.8620
angles: 67.99 89.87 66.56
Element x y z (fractional)
Pr: 0.8592 0.3036 0.7927
La: 0.6158 0.7883 0.1033
Pr: 0.1109 0.7986 0.6176
Ru: 0.8770 0.2699 0.2951
Ru: 0.0932 0.8324 0.1152
La: 0.3543 0.3139 0.3070

Computed properties:
DOS at the Fermi energy	0.4231	states/eV per atom
total magnetic moment	0.000	μB/atom
energy above the lowest structure with this stoichiometry	21	meV/atom
theoretical density	6.90	g/cm3
formation energy from the elements	-0.179	eV/atom


No. 11
Below is crystalline Ac2CuAsPt6 at its relaxed geometry, with properties calculated at the PBE level.

abc: 5.5704 8.4705 6.8918
angles: 50.42 66.16 90.00
Element x y z (fractional)
Pt: 0.2366 0.2517 0.0134
Pt: 0.7535 0.8918 0.4930
Pt: 0.2499 0.7483 0.9866
Ac: 0.2650 0.7271 0.4699
Pt: 0.2465 0.1082 0.5070
Cu: 0.0000 0.0000 0.0000
As: 0.5000 0.5000 0.0000
Pt: 0.7501 0.2517 0.0134
Pt: 0.7634 0.7483 0.9866
Ac: 0.7350 0.2729 0.5301

Computed properties:
DOS at the Fermi energy	0.3835	states/eV per atom
total magnetic moment	0.000	μB/atom
theoretical density	13.72	g/cm3
formation energy from the elements	-0.775	eV/atom


No. 12
Below is crystalline TaHgP2 at its relaxed geometry, with properties calculated at the PBE level.

abc: 5.6005 5.6005 5.6005
angles: 141.03 141.03 56.30
Element x y z (fractional)
Hg: 0.7500 0.2500 0.5000
P: 0.2500 0.7500 0.5000
Ta: 0.5000 0.5000 0.0000
P: 0.0000 0.0000 0.0000

Computed properties:
DOS at the Fermi energy	0.4045	states/eV per atom
total magnetic moment	0.000	μB/atom
theoretical density	10.68	g/cm3
formation energy from the elements	0.371	eV/atom